# 1
Material: K2TiIn
Method: DFT, PBE
State: optimized geometry Values from VASP.

Calculated values
E_form in eV per atom: 0.77
E_tot in eV per atom: -2.4355
Volume in A^3/atom: 37.47

The structure in Quantum ESPRESSO input format:
```
&SYSTEM
  ibrav = 0, nat = 16, ntyp = 3
/
ATOMIC_SPECIES
K 39.10 K.upf
Ti 47.87 Ti.upf
In 114.82 In.upf
CELL_PARAMETERS angstrom
9.884 0.000 0.000
0.000 9.884 0.000
0.000 0.000 6.137
ATOMIC_POSITIONS angstrom
K 2.294 2.471 0.767
K 2.471 7.236 2.301
K 2.471 7.590 5.370
K 2.648 2.471 3.836
K 7.236 7.413 3.836
K 7.413 2.294 5.370
K 7.413 2.648 2.301
K 7.590 7.413 0.767
Ti 0.000 0.000 3.069
Ti 0.000 4.942 4.603
Ti 4.942 0.000 1.534
Ti 4.942 4.942 0.000
In 0.000 0.000 0.000
In 0.000 4.942 1.534
In 4.942 0.000 4.603
In 4.942 4.942 3.069
```


# 2
Material: KTi3In
Method: DFT, PBE
State: optimized geometry Values from VASP.

Calculated values
E_form in eV per atom: 1.75
E_tot in eV per atom: -3.7554
Volume in A^3/atom: 19.76

The structure in Quantum ESPRESSO input format:
```
&SYSTEM
  ibrav = 0, nat = 5, ntyp = 3
/
ATOMIC_SPECIES
K 39.10 K.upf
Ti 47.87 Ti.upf
In 114.82 In.upf
CELL_PARAMETERS angstrom
4.623 0.000 0.000
0.000 4.623 0.000
0.000 0.000 4.623
ATOMIC_POSITIONS angstrom
K 0.000 0.000 0.000
Ti 0.000 0.000 2.311
Ti 0.000 2.311 0.000
Ti 2.311 0.000 0.000
In 2.311 2.311 2.311
```


# 3
Material: KTi3In
Method: DFT, PBE
State: optimized geometry Values from VASP.

Calculated values
E_form in eV per atom: 1.21
E_tot in eV per atom: -4.2938
Volume in A^3/atom: 30.49

The structure in Quantum ESPRESSO input format:
```
&SYSTEM
  ibrav = 0, nat = 5, ntyp = 3
/
ATOMIC_SPECIES
K 39.10 K.upf
Ti 47.87 Ti.upf
In 114.82 In.upf
CELL_PARAMETERS angstrom
5.342 0.000 0.000
0.000 5.342 0.000
0.000 0.000 5.342
ATOMIC_POSITIONS angstrom
K 0.000 0.000 0.000
Ti 0.000 2.671 2.671
Ti 2.671 0.000 2.671
Ti 2.671 2.671 0.000
In 2.671 2.671 2.671
```


Copy entry 1 word for word.
Material: K2TiIn
Method: DFT, PBE
State: optimized geometry Values from VASP.

Calculated values
E_form in eV per atom: 0.77
E_tot in eV per atom: -2.4355
Volume in A^3/atom: 37.47

The structure in Quantum ESPRESSO input format:
```
&SYSTEM
  ibrav = 0, nat = 16, ntyp = 3
/
ATOMIC_SPECIES
K 39.10 K.upf
Ti 47.87 Ti.upf
In 114.82 In.upf
CELL_PARAMETERS angstrom
9.884 0.000 0.000
0.000 9.884 0.000
0.000 0.000 6.137
ATOMIC_POSITIONS angstrom
K 2.294 2.471 0.767
K 2.471 7.236 2.301
K 2.471 7.590 5.370
K 2.648 2.471 3.836
K 7.236 7.413 3.836
K 7.413 2.294 5.370
K 7.413 2.648 2.301
K 7.590 7.413 0.767
Ti 0.000 0.000 3.069
Ti 0.000 4.942 4.603
Ti 4.942 0.000 1.534
Ti 4.942 4.942 0.000
In 0.000 0.000 0.000
In 0.000 4.942 1.534
In 4.942 0.000 4.603
In 4.942 4.942 3.069
```


What is the formula in the third record? KTi3In


Which value of volume does entry 1 give? 37.47 A^3/atom